1.
Computed, not measured: a relaxed structure of Tb6DyEr12 at the PBE level of DFT.

The structure in extended XYZ format:
```
19
Lattice="5.8854 3.3980 5.0155 -5.8854 3.3980 5.0155 0.0000 -6.7959 5.0155" Properties=species:S:1:pos:R:3 pbc="T T T"
Tb -2.3733 -2.4944 7.6845
Tb -3.3469 0.8082 7.3621
Tb 0.9736 -3.3026 7.3621
Tb -0.9736 3.3026 7.6845
Tb 3.3469 -0.8082 7.6845
Tb 2.3733 2.4944 7.3621
Dy 0.0000 0.0000 7.5233
Er -1.3446 -5.2916 6.2886
Er -5.2550 -1.4813 8.7580
Er -0.8352 -1.8564 4.6392
Er -3.9103 3.8103 6.2886
Er -1.1901 1.6515 4.6392
Er 2.0253 0.2049 4.6392
Er -2.0253 -0.2049 10.4074
Er 1.1901 -1.6515 10.4074
Er 3.9103 -3.8103 8.7580
Er 0.8352 1.8564 10.4074
Er 5.2549 1.4813 6.2886
Er 1.3446 5.2916 8.7580
```

Summary:
DFT total energy	-84.10	eV for the cell shown
polymorph energy (0 for the lowest one)	0.0	kJ/mol of atoms
formation energy from the elements	3.040	eV per formula unit
total magnetic moment	0.00	μB per formula unit

***

2.
Computed, not measured: a relaxed structure of Tb2Dy7Er4 at the PBE level of DFT.

The structure in extended XYZ format:
```
13
Lattice="6.0280 0.0000 0.0000 -3.0140 5.2204 0.0000 0.0000 0.0000 13.1328" Properties=species:S:1:pos:R:3 pbc="T T T"
Tb 0.0000 3.4803 0.0000
Tb 3.0140 1.7401 0.0000
Dy 0.0000 0.0000 0.0000
Dy -1.0784 1.8678 2.8565
Dy -1.9356 3.3526 10.2763
Dy 2.1567 0.0000 2.8565
Dy 1.0784 1.8678 10.2763
Dy 3.8713 0.0000 10.2763
Dy 1.9356 3.3526 2.8565
Er 0.0000 0.0000 5.1729
Er 0.0000 0.0000 7.9599
Er 0.0000 3.4803 6.5664
Er 3.0140 1.7401 6.5664
```

Summary:
DFT total energy	-57.38	eV for the cell shown
formation energy from the elements	2.347	eV per formula unit
total magnetic moment	0.00	μB per formula unit

***

3.
Computed, not measured: a relaxed structure of TbDy3Er6 at the PBE level of DFT.

The structure in extended XYZ format:
```
20
Lattice="5.4530 -9.3793 0.0000 5.4530 9.3793 0.0000 0.0000 0.0000 6.1255" Properties=species:S:1:pos:R:3 pbc="T T T"
Tb 5.4530 5.4853 3.0628
Tb 5.4530 -5.4853 0.0000
Dy 1.8691 2.0450 4.2453
Dy 1.8691 -2.0450 1.1826
Dy 5.4530 2.0503 3.5595
Dy 5.4530 -2.0503 0.4967
Dy 9.0368 2.0450 4.2453
Dy 9.0368 -2.0450 1.1826
Er 2.7237 3.9465 1.7566
Er 5.4530 8.4870 4.4858
Er 5.4530 4.0609 0.0534
Er 3.6608 0.8829 0.7202
Er 3.6608 -0.8829 3.7830
Er 2.7237 -3.9465 4.8194
Er 8.1822 3.9465 1.7566
Er 7.2451 0.8829 0.7202
Er 7.2451 -0.8829 3.7830
Er 5.4530 -4.0609 3.1162
Er 5.4530 -8.4870 1.4230
Er 8.1822 -3.9465 4.8194
```

Summary:
DFT total energy	-88.65	eV for the cell shown
polymorph energy (0 for the lowest one)	2.4	kJ/mol of atoms
formation energy from the elements	1.487	eV per formula unit
total magnetic moment	0.00	μB per formula unit

***

4.
Computed, not measured: a relaxed structure of Tb5Dy2Er3 at the PBE level of DFT.

The structure in extended XYZ format:
```
20
Lattice="5.2873 -7.7970 0.0000 5.2873 7.7970 0.0000 -5.2580 0.0000 7.8432" Properties=species:S:1:pos:R:3 pbc="T T T"
Tb 1.3438 7.3419 5.8824
Tb -1.3056 1.8695 5.5812
Tb 1.3438 4.2814 5.8824
Tb 3.9728 3.5972 1.9608
Tb 1.3234 -1.8695 1.6596
Tb 3.9932 1.8695 6.1836
Tb 1.3438 -3.5972 5.8824
Tb 3.9728 -4.2814 1.9608
Tb 6.6222 -1.8695 2.2620
Tb 3.9728 -7.3419 1.9608
Dy 1.4336 1.9518 3.5538
Dy -1.1955 -1.9518 7.4754
Dy 6.5120 1.9518 0.3678
Dy 3.8830 -1.9518 4.2894
Er 1.4301 1.8732 0.3650
Er -1.1990 -1.8732 4.2866
Er 3.9728 0.3667 1.9608
Er 1.3438 -0.3667 5.8824
Er 6.5155 1.8732 3.5566
Er 3.8865 -1.8732 7.4782
```

Summary:
DFT total energy	-88.03	eV for the cell shown
polymorph energy (0 for the lowest one)	7.4	kJ/mol of atoms
formation energy from the elements	2.027	eV per formula unit
total magnetic moment	0.00	μB per formula unit

***

5.
Computed, not measured: a relaxed structure of Tb6DyEr3 at the PBE level of DFT.

The structure in extended XYZ format:
```
20
Lattice="4.8011 -10.4267 0.0000 4.8011 10.4267 0.0000 0.0000 0.0000 6.3320" Properties=species:S:1:pos:R:3 pbc="T T T"
Tb 4.8011 10.1030 3.1660
Tb 3.1111 4.5691 6.2779
Tb 3.0638 1.2449 4.7384
Tb 4.8011 4.1537 3.3553
Tb 3.0638 -1.2449 1.5724
Tb 6.4911 4.5691 6.2779
Tb 3.1111 -4.5691 3.1119
Tb 6.5384 1.2449 4.7384
Tb 4.8011 -4.1537 0.1893
Tb 6.5384 -1.2449 1.5724
Tb 6.4911 -4.5691 3.1119
Tb 4.8011 -10.1030 0.0000
Dy 4.8011 7.0789 1.9270
Dy 4.8011 -7.0789 5.0929
Er 1.6202 2.6325 2.0881
Er 1.6202 -2.6325 5.2541
Er 4.8011 1.6876 1.4260
Er 4.8011 -1.6876 4.5920
Er 7.9820 2.6325 2.0881
Er 7.9820 -2.6325 5.2541
```

Summary:
DFT total energy	-89.63	eV for the cell shown
polymorph energy (0 for the lowest one)	0.0	kJ/mol of atoms
formation energy from the elements	1.256	eV per formula unit
total magnetic moment	0.00	μB per formula unit

***

6.
Computed, not measured: a relaxed structure of Tb2DyEr5 at the PBE level of DFT.

The structure in extended XYZ format:
```
16
Lattice="8.0794 -2.7899 0.0000 8.0794 2.7899 0.0000 -0.0121 0.0000 11.3194" Properties=species:S:1:pos:R:3 pbc="T T T"
Tb 3.4235 0.0000 0.9183
Tb 3.4246 0.0000 4.7379
Tb 12.7220 0.0000 6.5815
Tb 12.7231 0.0000 10.4012
Dy 3.6643 0.0000 8.4926
Dy 12.4823 0.0000 2.8268
Er 0.6986 0.0000 10.0423
Er 0.7247 0.0000 6.9239
Er 6.3826 0.0000 2.8301
Er 6.6659 0.0000 6.5568
Er 6.6565 0.0000 10.4363
Er 9.4901 0.0000 0.8831
Er 9.4807 0.0000 4.7627
Er 9.7640 0.0000 8.4893
Er 15.4219 0.0000 4.3956
Er 15.4480 0.0000 1.2771
```

Summary:
DFT total energy	-71.10	eV for the cell shown
polymorph energy (0 for the lowest one)	11.9	kJ/mol of atoms
formation energy from the elements	1.126	eV per formula unit
total magnetic moment	0.00	μB per formula unit

***

7.
Computed, not measured: a relaxed structure of Tb3Dy7Er2 at the PBE level of DFT.

The structure in extended XYZ format:
```
12
Lattice="6.1329 0.0000 0.0000 0.0000 5.5212 0.0000 -0.5747 0.0000 11.9190" Properties=species:S:1:pos:R:3 pbc="T T T"
Tb 0.0000 0.0000 0.0000
Tb 2.5721 2.7606 3.9830
Tb 2.9860 2.7606 7.9360
Dy -0.1073 2.7606 9.7697
Dy 1.3056 0.0000 6.5640
Dy 2.0325 0.0000 9.9485
Dy 3.0664 2.7606 0.0000
Dy 3.5257 0.0000 1.9705
Dy 4.2525 0.0000 5.3550
Dy 5.6655 2.7606 2.1494
Er 0.5814 0.0000 3.3480
Er 4.9768 0.0000 8.5710
```

Summary:
DFT total energy	-51.53	eV for the cell shown
polymorph energy (0 for the lowest one)	19.2	kJ/mol of atoms
formation energy from the elements	3.704	eV per formula unit
total magnetic moment	0.00	μB per formula unit

***

8.
Computed, not measured: a relaxed structure of Tb2Dy5Er at the PBE level of DFT.

The structure in extended XYZ format:
```
16
Lattice="3.2991 -8.1272 0.0000 3.2991 8.1272 0.0000 -0.7584 0.0000 9.4454" Properties=species:S:1:pos:R:3 pbc="T T T"
Tb 0.8702 0.8906 4.0222
Tb 0.4910 -0.8906 8.7449
Tb 5.3488 0.8906 0.7005
Tb 4.9697 -0.8906 5.4232
Dy 3.1095 5.5502 2.3614
Dy 2.0293 2.0411 1.0627
Dy 2.4934 3.9741 5.5774
Dy 2.9672 3.9741 8.5907
Dy 1.6502 -2.0411 5.7854
Dy 4.1897 2.0411 3.6600
Dy 2.8726 -3.9741 0.8547
Dy 3.3464 -3.9741 3.8680
Dy 3.8105 -2.0411 8.3827
Dy 2.7303 -5.5502 7.0841
Er 2.7303 0.9992 7.0841
Er 3.1095 -0.9992 2.3614
```

Summary:
DFT total energy	-71.21	eV for the cell shown
polymorph energy (0 for the lowest one)	13.4	kJ/mol of atoms
formation energy from the elements	1.229	eV per formula unit
total magnetic moment	0.00	μB per formula unit

***

9.
Computed, not measured: a relaxed structure of Tb6Dy2Er at the PBE level of DFT.

The structure in extended XYZ format:
```
18
Lattice="6.3629 -7.0991 0.0000 6.3629 7.0991 0.0000 -1.6335 0.0000 6.3436" Properties=species:S:1:pos:R:3 pbc="T T T"
Tb 1.8573 2.8520 4.6021
Tb 4.2757 4.4760 6.3184
Tb 5.9998 4.4760 3.1970
Tb 4.3698 1.2633 1.1626
Tb 2.6741 -2.8520 1.4303
Tb 3.5531 -1.2633 4.3344
Tb 7.5392 1.2633 2.0092
Tb 8.4182 2.8520 4.9133
Tb 6.7224 -1.2633 5.1810
Tb 5.0924 -4.4760 3.1466
Tb 6.8166 -4.4760 0.0252
Tb 9.2349 -2.8520 1.7415
Dy 1.2133 0.3319 2.3346
Dy 0.3966 -0.3319 5.5064
Dy 10.6957 0.3319 0.8372
Dy 9.8789 -0.3319 4.0090
Er 5.1378 1.6952 4.7577
Er 5.9545 -1.6952 1.5859
```

Summary:
DFT total energy	-81.08	eV for the cell shown
polymorph energy (0 for the lowest one)	9.3	kJ/mol of atoms
formation energy from the elements	1.007	eV per formula unit
total magnetic moment	0.00	μB per formula unit

***

10.
Computed, not measured: a relaxed structure of Tb6DyEr4 at the PBE level of DFT.

The structure in extended XYZ format:
```
11
Lattice="-3.2577 3.2577 8.4954 3.2577 -3.2577 8.4954 3.2577 3.2577 -8.4954" Properties=species:S:1:pos:R:3 pbc="T T T"
Tb 3.2577 0.0000 0.0000
Tb 2.0374 -2.0374 5.5348
Tb 1.2203 1.2203 2.9606
Tb 0.0000 3.2577 0.0000
Tb -2.0374 2.0374 5.5348
Tb 2.0374 2.0374 11.4561
Dy 0.0000 0.0000 0.0000
Er 2.0882 2.0882 -2.2237
Er 1.1695 -1.1695 10.7191
Er 1.1695 1.1695 6.2718
Er -1.1695 1.1695 10.7191
```

Summary:
DFT total energy	-47.22	eV for the cell shown
polymorph energy (0 for the lowest one)	17.8	kJ/mol of atoms
formation energy from the elements	3.419	eV per formula unit
total magnetic moment	0.00	μB per formula unit

***

11.
Computed, not measured: a relaxed structure of Tb7Dy12Er at the PBE level of DFT.

The structure in extended XYZ format:
```
20
Lattice="9.2383 5.3337 2.2251 -9.2383 5.3337 2.2251 0.0000 -10.6675 2.2251" Properties=species:S:1:pos:R:3 pbc="T T T"
Tb 0.0000 0.0000 0.0000
Tb -1.5120 -2.3773 1.8702
Tb -1.3028 2.4981 1.8702
Tb 2.8148 -0.1208 1.8702
Tb -2.8148 0.1208 4.8050
Tb 1.3028 -2.4981 4.8050
Tb 1.5120 2.3773 4.8050
Dy -3.9354 0.0034 1.4438
Dy 1.9647 -3.4098 1.4438
Dy -0.5873 -5.2307 2.8468
Dy -4.8236 -2.1068 3.8284
Dy -4.2363 3.1240 2.8468
Dy 1.9706 3.4064 1.4438
Dy -1.9706 -3.4064 5.2313
Dy 4.2363 -3.1240 3.8284
Dy 4.8236 2.1068 2.8468
Dy 0.5873 5.2307 3.8284
Dy -1.9647 3.4098 5.2313
Dy 3.9354 -0.0034 5.2313
Er 0.0000 0.0000 3.3376
```

Summary:
DFT total energy	-85.70	eV for the cell shown
polymorph energy (0 for the lowest one)	3.3	kJ/mol of atoms
formation energy from the elements	6.499	eV per formula unit
total magnetic moment	0.00	μB per formula unit

***

12.
Computed, not measured: a relaxed structure of Tb3Dy2Er at the PBE level of DFT.

The structure in extended XYZ format:
```
12
Lattice="7.1339 0.0000 0.0000 3.5653 6.1861 0.0000 1.7827 1.0368 8.5344" Properties=species:S:1:pos:R:3 pbc="T T T"
Tb 1.7822 1.0284 1.4258
Tb 3.5663 2.0654 4.2700
Tb 7.1331 6.1932 7.1165
Tb 5.3488 1.0296 1.4179
Tb 8.9156 5.1575 4.2644
Tb 10.6997 6.1944 7.1086
Dy 3.5635 4.1196 1.4208
Dy 5.3508 3.1030 7.1067
Dy 7.1312 4.1198 1.4277
Dy 8.9184 3.1032 7.1137
Er 5.3485 5.1563 4.2657
Er 7.1335 2.0666 4.2688
```

Summary:
DFT total energy	-55.30	eV for the cell shown
polymorph energy (0 for the lowest one)	0.0	kJ/mol of atoms
formation energy from the elements	0.007	eV per formula unit
total magnetic moment	0.00	μB per formula unit

***

13.
Computed, not measured: a relaxed structure of Tb3Dy2Er3 at the PBE level of DFT.

The structure in extended XYZ format:
```
8
Lattice="-2.4933 2.4943 9.9845 2.4933 -2.4943 9.9845 2.4933 2.4943 -9.9845" Properties=species:S:1:pos:R:3 pbc="T T T"
Tb 0.0000 0.0000 0.0000
Tb 2.4933 0.0000 7.4940
Tb 0.0000 2.4943 2.4905
Dy 0.0000 0.0000 4.9871
Dy 0.0000 0.0000 14.9820
Er 2.4933 0.0000 2.4986
Er 0.0000 0.0000 9.9845
Er 0.0000 2.4943 7.4859
```

Summary:
DFT total energy	-36.63	eV for the cell shown
polymorph energy (0 for the lowest one)	0.0	kJ/mol of atoms
formation energy from the elements	0.158	eV per formula unit
total magnetic moment	0.00	μB per formula unit

***

14.
Computed, not measured: a relaxed structure of Tb2Dy8Er at the PBE level of DFT.

The structure in extended XYZ format:
```
11
Lattice="8.5576 -3.3544 0.0000 8.5576 3.3544 0.0000 -2.1808 0.0000 6.0485" Properties=species:S:1:pos:R:3 pbc="T T T"
Tb 3.4676 0.0000 0.6606
Tb 11.4667 0.0000 5.3879
Dy 0.4567 0.0000 1.5033
Dy 6.1263 1.5860 1.8771
Dy 3.5046 0.0000 4.0909
Dy 8.8081 1.5860 4.1714
Dy 6.1263 -1.5860 1.8771
Dy 11.4297 0.0000 1.9576
Dy 8.8081 -1.5860 4.1714
Dy 14.4776 0.0000 4.5452
Er 8.5576 0.0000 0.0000
```

Summary:
DFT total energy	-48.57	eV for the cell shown
polymorph energy (0 for the lowest one)	1.5	kJ/mol of atoms
formation energy from the elements	2.065	eV per formula unit
total magnetic moment	0.00	μB per formula unit

***

15.
Computed, not measured: a relaxed structure of Tb2Dy5Er4 at the PBE level of DFT.

The structure in extended XYZ format:
```
11
Lattice="5.4708 -3.6354 0.0000 5.4708 3.6354 0.0000 -2.7147 0.0000 8.7399" Properties=species:S:1:pos:R:3 pbc="T T T"
Tb 1.2657 0.0000 1.0710
Tb 6.9612 0.0000 7.6689
Dy -1.3573 0.0000 4.3699
Dy 4.1206 1.6020 1.9410
Dy 4.1063 1.6020 6.7989
Dy 4.1206 -1.6020 1.9410
Dy 4.1063 -1.6020 6.7989
Er 2.1309 0.0000 4.3838
Er 1.2361 0.0000 7.6682
Er 6.9908 0.0000 1.0717
Er 6.0960 0.0000 4.3561
```

Summary:
DFT total energy	-48.96	eV for the cell shown
polymorph energy (0 for the lowest one)	0.0	kJ/mol of atoms
formation energy from the elements	1.563	eV per formula unit
total magnetic moment	0.01	μB per formula unit

***

16.
Computed, not measured: a relaxed structure of Tb6Dy5Er2 at the PBE level of DFT.

The structure in extended XYZ format:
```
26
Lattice="11.5612 0.0000 0.0000 0.0000 20.1716 0.0000 0.0000 0.0000 3.5600" Properties=species:S:1:pos:R:3 pbc="T T T"
Tb 0.6853 1.6301 0.0000
Tb 0.9557 7.4229 0.0000
Tb 1.9979 12.8270 1.7800
Tb 3.7827 2.7412 1.7800
Tb 4.8249 17.5087 0.0000
Tb 5.0953 11.7159 0.0000
Tb 6.4659 8.4557 0.0000
Tb 6.7363 2.6629 0.0000
Tb 7.7785 17.4304 1.7800
Tb 9.5633 7.3446 1.7800
Tb 10.6055 12.7487 0.0000
Tb 10.8759 18.5415 0.0000
Dy 0.0000 10.0858 1.7800
Dy 1.0382 4.5700 1.7800
Dy 2.2944 19.1285 1.7800
Dy 3.4862 9.0427 1.7800
Dy 4.7424 14.6558 1.7800
Dy 5.7806 0.0000 1.7800
Dy 6.8189 5.5158 1.7800
Dy 8.0750 11.1289 1.7800
Dy 9.2668 1.0431 1.7800
Dy 10.5230 15.6016 1.7800
Er 1.9369 15.9349 0.0000
Er 3.8437 5.8491 0.0000
Er 7.7175 14.3225 0.0000
Er 9.6243 4.2367 0.0000
```

Summary:
DFT total energy	-117.28	eV for the cell shown
formation energy from the elements	1.277	eV per formula unit
total magnetic moment	0.00	μB per formula unit

***

17.
Computed, not measured: a relaxed structure of Tb3Dy3Er at the PBE level of DFT.

The structure in extended XYZ format:
```
14
Lattice="3.0739 1.7747 14.0995 -3.0739 1.7747 14.0995 0.0000 -3.5494 14.0995" Properties=species:S:1:pos:R:3 pbc="T T T"
Tb -1.0181 -1.7854 19.7028
Tb -2.0553 -0.0110 22.5958
Tb -1.0372 1.7744 19.7028
Tb 1.0372 -1.7744 22.5958
Tb 2.0553 0.0110 19.7028
Tb 1.0181 1.7854 22.5958
Dy -2.0486 -0.0024 16.8819
Dy -1.0222 -1.7754 25.4168
Dy 1.0264 -1.7729 16.8818
Dy -1.0264 1.7729 25.4168
Dy 1.0222 1.7754 16.8818
Dy 2.0486 0.0024 25.4168
Er 0.0000 0.0000 14.0989
Er 0.0000 0.0000 28.1997
```

Summary:
DFT total energy	-62.51	eV for the cell shown
polymorph energy (0 for the lowest one)	12.9	kJ/mol of atoms
formation energy from the elements	1.006	eV per formula unit
total magnetic moment	0.00	μB per formula unit